# Pr3HgPb2 | Alexandria | PBE-GGA | optimized geometry
data_Pr3HgPb2
_chemical_formula_sum 'Pr6 Hg2 Pb4'
_cell_length_a 5.293
_cell_length_b 15.921
_cell_length_c 4.318
_cell_angle_alpha 90.00
_cell_angle_beta 90.00
_cell_angle_gamma 90.00
_symmetry_space_group_name_H-M 'P 1'
_symmetry_Int_Tables_number 1
_symmetry_space_group_name_Hall 'P 1'
loop_
_atom_site_label
_atom_site_type_symbol
_atom_site_fract_x
_atom_site_fract_y
_atom_site_fract_z
Pr1 Pr 0.250 0.083 0.001
Pr2 Pr 0.250 0.417 0.001
Pr3 Pr 0.250 0.750 0.999
Pr4 Pr 0.750 0.250 0.001
Pr5 Pr 0.750 0.583 0.999
Pr6 Pr 0.750 0.917 0.999
Hg1 Hg 0.250 0.250 0.501
Hg2 Hg 0.750 0.750 0.499
Pb1 Pb 0.250 0.588 0.500
Pb2 Pb 0.250 0.912 0.500
Pb3 Pb 0.750 0.088 0.500
Pb4 Pb 0.750 0.412 0.500
# space-group type = No. 59
# offset from the most stable computed form = 0.0000 eV/atom
# total DFT energy (no corrections) = -25.12 eV/f.u.
# theoretical density = 9.47 g cm⁻³